Density functional theory data (GGA-PBEsol) for crystalline KSc2Os at its relaxed geometry.

- total energy (eV/atom) = -6.3994
- M_tot (μB/atom) = 0.00

Unit cell a=3.855 b=3.855 c=10.282 alpha=79.19 beta=79.19 gamma=60.00
Atoms (fractional coordinates):
Sc 0.876 0.876 0.373
Sc 0.124 0.124 0.627
K 0.000 0.000 0.000
Os 0.500 0.500 0.500